a | Entry from Alexandria: a relaxed structure of CaCdF (GGA-PBE).

Calculated values
Density in g/cm3: 4.6
Magnetic moment in μB per formula unit: 0.000

abc: 3.9160 3.9160 8.1618
angles: 90.00 90.00 90.00
Space group P4/nmm (No. 129, origin choice 2)
Symmetry-distinct sites (fractional):
Ca  0.2500  0.2500  0.1597 x2
Cd  0.2500  0.2500  0.5805 x2
F  0.2500  0.7500  0.0000 x2

***

b | Entry from Alexandria: a relaxed structure of CaCdF (GGA-PBE).

Calculated values
Density in g/cm3: 4.3
Magnetic moment in μB per formula unit: 0.000

abc: 4.0590 4.0952 8.0449
angles: 90.00 90.00 90.00
Space group Pmmn (No. 59, origin choice 2)
Symmetry-distinct sites (fractional):
Ca  0.2500  0.2500  0.1542 x2
Cd  0.2500  0.7500  0.4765 x2
F  0.2500  0.7500  0.9942 x2

***

c | Entry from Alexandria: a relaxed structure of CaCdF (GGA-PBE).

Calculated values
Density in g/cm3: 4.3
Magnetic moment in μB per formula unit: 0.000

abc: 9.9084 3.4485 7.7864
angles: 90.00 91.62 90.00
Space group Cm (No. 8)
Symmetry-distinct sites (fractional):
Ca  0.0000  0.0000  0.0000 x2
Ca  0.2454  0.0000  0.3225 x2
Cd  0.1862  0.5000  0.6871 x2
Cd  0.4596  0.5000  0.5665 x2
F  0.1416  0.5000  0.1522 x2
F  0.3727  0.0000  0.0840 x2

***

Ranked by calculated energy, most stable first: a, b, c.

***

a | Entry from Alexandria: a relaxed structure of CaCdF (GGA-PBE).

Calculated values
Density in g/cm3: 5.0
Magnetic moment in μB per formula unit: 0.000

abc: 3.3415 3.3415 10.2863
angles: 90.00 90.00 90.00
Space group P4/nmm (No. 129, origin choice 2)
Symmetry-distinct sites (fractional):
Ca  0.2500  0.2500  0.1619 x2
Cd  0.2500  0.2500  0.6007 x2
F  0.2500  0.2500  0.9267 x2

***

b | Entry from Alexandria: a relaxed structure of CaCdF (GGA-PBE).

Calculated values
Density in g/cm3: 4.0
Magnetic moment in μB per formula unit: 0.000

abc: 3.7946 5.2764 7.9630
angles: 106.68 90.23 110.65
Space group P-1 (No. 2)
Symmetry-distinct sites (fractional):
Ca  0.1419  0.2827  0.3094 x2
Cd  0.3652  0.7311  0.0419 x2
F  0.3512  0.7060  0.5390 x2

***

Ranked by calculated energy, most stable first: b, a.

***

a | Entry from Alexandria: a relaxed structure of Ca2CdF (GGA-PBE).

Calculated values
Density in g/cm3: 3.7
Magnetic moment in μB per formula unit: 0.000

abc: 3.4345 3.4345 7.9978
angles: 90.00 90.00 90.00
Space group P4/mmm (No. 123)
Symmetry-distinct sites (fractional):
Ca  0.0000  0.0000  0.2302 x2
Cd  0.5000  0.5000  0.5000 x1
F  0.5000  0.5000  0.0000 x1

***

b | Entry from Alexandria: a relaxed structure of Ca2CdF (GGA-PBE).

Calculated values
Density in g/cm3: 3.2
Magnetic moment in μB per formula unit: 0.919

abc: 3.6658 3.6658 28.6656
angles: 90.00 90.00 120.00
Space group R-3m (No. 166, hexagonal axes)
Symmetry-distinct sites (fractional):
Ca  0.0000  0.0000  0.1117 x6
Cd  0.0000  0.0000  0.0000 x3
F  0.0000  0.0000  0.5000 x3

***

Ranked by calculated energy, most stable first: a, b.

***

a | Entry from Alexandria: a relaxed structure of CaCdN2F (GGA-PBE).

Calculated values
Density in g/cm3: 3.6
Magnetic moment in μB per formula unit: 3.112

abc: 4.6898 4.6898 4.2105
angles: 90.00 90.00 90.00
Space group P4/mmm (No. 123)
Symmetry-distinct sites (fractional):
Ca  0.0000  0.0000  0.0000 x1
Cd  0.5000  0.5000  0.5000 x1
N  0.0000  0.5000  0.0000 x2
F  0.0000  0.0000  0.5000 x1

***

b | Entry from Alexandria: a relaxed structure of CaCdN2F (GGA-PBE).

Calculated values
Density in g/cm3: 4.2
Magnetic moment in μB per formula unit: 1.739

abc: 4.1795 4.1795 4.5188
angles: 90.00 90.00 90.00
Space group P4/mmm (No. 123)
Symmetry-distinct sites (fractional):
Ca  0.0000  0.0000  0.0000 x1
Cd  0.5000  0.5000  0.5000 x1
N  0.0000  0.5000  0.5000 x2
F  0.5000  0.5000  0.0000 x1

***

Ranked by calculated energy, most stable first: b, a.

***

a | Entry from Alexandria: a relaxed structure of CaCdFe3 (GGA-PBE).

Calculated values
Density in g/cm3: 4.5
Magnetic moment in μB per formula unit: 8.548

abc: 4.8885 4.8885 4.8885
angles: 90.00 90.00 90.00
Space group Pm-3m (No. 221)
Symmetry-distinct sites (fractional):
Ca  0.0000  0.0000  0.0000 x1
Cd  0.5000  0.5000  0.5000 x1
Fe  0.0000  0.5000  0.5000 x3

***

b | Entry from Alexandria: a relaxed structure of CaCdFe3 (GGA-PBE).

Calculated values
Density in g/cm3: 5.5
Magnetic moment in μB per formula unit: 6.929

abc: 4.5886 4.5886 4.5886
angles: 90.00 90.00 90.00
Space group Pm-3m (No. 221)
Symmetry-distinct sites (fractional):
Ca  0.0000  0.0000  0.0000 x1
Cd  0.5000  0.5000  0.5000 x1
Fe  0.0000  0.0000  0.5000 x3

***

Ranked by calculated energy, most stable first: a, b.

***

a | Entry from Alexandria: a relaxed structure of CaCd3Fe (GGA-PBE).

Calculated values
Density in g/cm3: 3.6
Magnetic moment in μB per formula unit: 2.911

abc: 5.8381 5.8381 5.8381
angles: 90.00 90.00 90.00
Space group Pm-3m (No. 221)
Symmetry-distinct sites (fractional):
Ca  0.0000  0.0000  0.0000 x1
Cd  0.0000  0.0000  0.5000 x3
Fe  0.5000  0.5000  0.5000 x1

***

b | Entry from Alexandria: a relaxed structure of CaCd3Fe (GGA-PBE).

Calculated values
Density in g/cm3: 5.8
Magnetic moment in μB per formula unit: 0.000

abc: 4.9932 4.9932 4.9932
angles: 90.00 90.00 90.00
Space group Pm-3m (No. 221)
Symmetry-distinct sites (fractional):
Ca  0.0000  0.0000  0.0000 x1
Cd  0.0000  0.5000  0.5000 x3
Fe  0.5000  0.5000  0.5000 x1

***

Ranked by calculated energy, most stable first: b, a.